# 1
## TiCr2HgPt (PBE)

Data for a geometry-optimized TiCr2HgPt structure.

Computed properties:
- DOS at the Fermi energy (states/eV/f.u.) = 10.159
- space-group type = P4/mmm
- uncorrected energy (eV per atom) = -5.56

Cell lengths 4.8115, 4.8115, 5.1199 Å; angles 90.00, 90.00, 90.00 degrees
Sites, in units of the cell vectors:
Ti 0.0000 0.0000 0.0000
Cr 0.0000 0.5000 0.5000
Cr 0.5000 0.0000 0.5000
Hg 0.5000 0.5000 0.0000
Pt 0.5000 0.5000 0.5000

=====

# 2
## TlCr2HgPt (PBE)

Data for a geometry-optimized TlCr2HgPt structure.

Computed properties:
- DOS at the Fermi energy (states/eV/f.u.) = 4.781
- space-group type = P4/mmm
- uncorrected energy (eV per atom) = -4.30

Cell lengths 5.2070, 5.2070, 5.0621 Å; angles 90.00, 90.00, 90.00 degrees
Sites, in units of the cell vectors:
Tl 0.0000 0.0000 0.0000
Cr 0.0000 0.5000 0.0000
Cr 0.5000 0.0000 0.0000
Hg 0.5000 0.5000 0.5000
Pt 0.0000 0.0000 0.5000

=====

# 3
## ZnCrHg2Pt (PBE)

Data for a geometry-optimized ZnCrHg2Pt structure.

Computed properties:
- DOS at the Fermi energy (states/eV/f.u.) = 2.752
- space-group type = P4/mmm
- uncorrected energy (eV per atom) = -2.81

Cell lengths 4.9493, 4.9493, 4.7824 Å; angles 90.00, 90.00, 90.00 degrees
Sites, in units of the cell vectors:
Zn 0.0000 0.0000 0.0000
Cr 0.5000 0.5000 0.5000
Hg 0.0000 0.5000 0.0000
Hg 0.5000 0.0000 0.0000
Pt 0.0000 0.0000 0.5000

=====

# 4
## Pu2CrHg (PBE)

Data for a geometry-optimized Pu2CrHg structure.

Computed properties:
- DOS at the Fermi energy (states/eV/f.u.) = 9.522
- space-group type = P4/mmm
- uncorrected energy (eV per atom) = -9.55

Cell lengths 3.1533, 3.1533, 8.7323 Å; angles 90.00, 90.00, 90.00 degrees
Sites, in units of the cell vectors:
Pu 0.0000 0.0000 0.2115
Pu 0.0000 0.0000 0.7885
Cr 0.5000 0.5000 0.0000
Hg 0.5000 0.5000 0.5000

=====

# 5
## Rb3CrHg (PBE)

Data for a geometry-optimized Rb3CrHg structure.

Computed properties:
- DOS at the Fermi energy (states/eV/f.u.) = 4.871
- space-group type = Pm-3m
- uncorrected energy (eV per atom) = -1.98

Cell lengths 7.0662, 7.0662, 7.0662 Å; angles 90.00, 90.00, 90.00 degrees
Sites, in units of the cell vectors:
Rb 0.0000 0.0000 0.5000
Rb 0.0000 0.5000 0.0000
Rb 0.5000 0.0000 0.0000
Cr 0.0000 0.0000 0.0000
Hg 0.5000 0.5000 0.5000

=====

# 6
## Rb2Cr2Hg (PBE)

Data for a geometry-optimized Rb2Cr2Hg structure.

Computed properties:
- DOS at the Fermi energy (states/eV/f.u.) = 5.651
- space-group type = I4/mmm
- uncorrected energy (eV per atom) = -3.49

Cell lengths 12.8260, 12.8260, 12.8260 Å; angles 165.27, 165.27, 20.88 degrees
Sites, in units of the cell vectors:
Rb 0.1192 0.1192 0.0000
Rb 0.8808 0.8808 0.0000
Cr 0.2500 0.7500 0.5000
Cr 0.7500 0.2500 0.5000
Hg 0.5000 0.5000 0.0000

=====

# 7
## Rb2Cr2Hg (PBE)

Data for a geometry-optimized Rb2Cr2Hg structure.

Computed properties:
- DOS at the Fermi energy (states/eV/f.u.) = 2.723
- space-group type = P4/mbm
- uncorrected energy (eV per atom) = -3.26

Cell lengths 10.8869, 10.8869, 3.4984 Å; angles 90.00, 90.00, 90.00 degrees
Sites, in units of the cell vectors:
Rb 0.1960 0.3040 0.0000
Rb 0.3040 0.8040 0.0000
Rb 0.6960 0.1960 0.0000
Rb 0.8040 0.6960 0.0000
Cr 0.0946 0.5946 0.5000
Cr 0.4054 0.0946 0.5000
Cr 0.5946 0.9054 0.5000
Cr 0.9054 0.4054 0.5000
Hg 0.0000 0.0000 0.0000
Hg 0.5000 0.5000 0.0000

=====

# 8
## Rb2CrHgS4 (PBE)

Data for a geometry-optimized Rb2CrHgS4 structure.

Computed properties:
- space-group type = Fddd
- uncorrected formation energy (eV per atom) = -0.67

Cell lengths 13.1894, 12.1900, 7.1618 Å; angles 81.46, 66.06, 32.48 degrees
Sites, in units of the cell vectors:
Rb 0.0558 0.0558 0.6942
Rb 0.3058 0.3058 0.9442
Rb 0.6942 0.6942 0.0558
Rb 0.9442 0.9442 0.3058
Cr 0.3750 0.3750 0.3750
Cr 0.6250 0.6250 0.6250
Hg 0.1250 0.1250 0.1250
Hg 0.8750 0.8750 0.8750
S 0.0502 0.5977 0.5123
S 0.3398 0.5123 0.5977
S 0.4023 0.9498 0.6602
S 0.4877 0.6602 0.9498
S 0.5123 0.3398 0.0502
S 0.5977 0.0502 0.3398
S 0.6602 0.4877 0.4023
S 0.9498 0.4023 0.4877

=====

Repeat the third record exactly.
## ZnCrHg2Pt (PBE)

Data for a geometry-optimized ZnCrHg2Pt structure.

Computed properties:
- DOS at the Fermi energy (states/eV/f.u.) = 2.752
- space-group type = P4/mmm
- uncorrected energy (eV per atom) = -2.81

Cell lengths 4.9493, 4.9493, 4.7824 Å; angles 90.00, 90.00, 90.00 degrees
Sites, in units of the cell vectors:
Zn 0.0000 0.0000 0.0000
Cr 0.5000 0.5000 0.5000
Hg 0.0000 0.5000 0.0000
Hg 0.5000 0.0000 0.0000
Pt 0.0000 0.0000 0.5000